1.
Computed, not measured: an optimized crystal structure of MgTiCrIr at the PBE level of DFT.

Lattice parameters (Å, degrees): 4.4170 4.4170 4.4170 60.00 60.00 60.00
Closest atoms and distances in Å follow each position.
Positions (direct):
Mg  0.0000  0.0000  0.0000  4 Cr 2.70, 4 Ir 2.70
Ti  0.5000  0.5000  0.5000  4 Cr 2.70, 4 Ir 2.70
Cr  0.7500  0.7500  0.7500  4 Mg 2.70, 4 Ti 2.70
Ir  0.2500  0.2500  0.2500  4 Mg 2.70, 4 Ti 2.70

Calculated values
Symmetry: F-43m, No. 216
Total magnetization, Bohr magnetons per cell: 3.03
Formation enthalpy at 0 K, eV per atom: -0.306
E_tot, eV/f.u.: -29.197

2.
Computed, not measured: an optimized crystal structure of MgVCrIr at the PBE level of DFT.

Lattice parameters (Å, degrees): 4.3298 4.3298 4.3298 60.00 60.00 60.00
Closest atoms and distances in Å follow each position.
Positions (direct):
Mg  0.0000  0.0000  0.0000  4 Cr 2.65, 4 Ir 2.65
V  0.5000  0.5000  0.5000  4 Cr 2.65, 4 Ir 2.65
Cr  0.7500  0.7500  0.7500  4 Mg 2.65, 4 V 2.65
Ir  0.2500  0.2500  0.2500  4 Mg 2.65, 4 V 2.65

Calculated values
Symmetry: F-43m, No. 216
Total magnetization, Bohr magnetons per cell: 1.95
Formation enthalpy at 0 K, eV per atom: -0.122
E_tot, eV/f.u.: -29.685

3.
Computed, not measured: an optimized crystal structure of MgZnCrIr at the PBE level of DFT.

Lattice parameters (Å, degrees): 4.3113 4.3113 4.3113 60.00 60.00 60.00
Closest atoms and distances in Å follow each position.
Positions (direct):
Mg  0.0000  0.0000  0.0000  4 Cr 2.64, 4 Zn 2.64
Zn  0.2500  0.2500  0.2500  4 Ir 2.64, 4 Mg 2.64
Cr  0.7500  0.7500  0.7500  4 Ir 2.64, 4 Mg 2.64
Ir  0.5000  0.5000  0.5000  4 Cr 2.64, 4 Zn 2.64

Calculated values
Symmetry: F-43m, No. 216
Total magnetization, Bohr magnetons per cell: 1.00
Formation enthalpy at 0 K, eV per atom: -0.036
E_tot, eV/f.u.: -21.498

4.
Computed, not measured: an optimized crystal structure of MgZrCrIr at the PBE level of DFT.

Lattice parameters (Å, degrees): 4.5758 4.5758 4.5758 60.00 60.00 60.00
Closest atoms and distances in Å follow each position.
Positions (direct):
Mg  0.0000  0.0000  0.0000  4 Cr 2.80, 4 Ir 2.80
Zr  0.5000  0.5000  0.5000  4 Ir 2.80, 4 Cr 2.80
Cr  0.2500  0.2500  0.2500  4 Zr 2.80, 4 Mg 2.80
Ir  0.7500  0.7500  0.7500  4 Zr 2.80, 4 Mg 2.80

Calculated values
Symmetry: F-43m, No. 216
Total magnetization, Bohr magnetons per cell: 3.09
Formation enthalpy at 0 K, eV per atom: -0.305
E_tot, eV/f.u.: -29.846

5.
Computed, not measured: an optimized crystal structure of MgZr2CrIr at the PBE level of DFT.

Lattice parameters (Å, degrees): 5.1094 5.1094 4.5412 90.00 90.00 90.00
Closest atoms and distances in Å follow each position.
Positions (direct):
Mg  0.0000  0.0000  0.0000  8 Zr 3.42, 4 Cr 3.61
Zr  0.0000  0.5000  0.5000  2 Ir 2.55
Zr  0.5000  0.0000  0.5000  2 Ir 2.55
Cr  0.5000  0.5000  0.0000  2 Ir 2.27
Ir  0.5000  0.5000  0.5000  2 Cr 2.27

Calculated values
Symmetry: P4/mmm, No. 123
Total magnetization, Bohr magnetons per cell: 0.00
Formation enthalpy at 0 K, eV per atom: 0.499
E_tot, eV/f.u.: -34.679

6.
Computed, not measured: an optimized crystal structure of MnCrIr2 at the PBE level of DFT.

Lattice parameters (Å, degrees): 4.5407 4.5407 2.7231 90.00 90.00 107.03
Closest atoms and distances in Å follow each position.
Positions (direct):
Mn  0.0000  0.0000  0.0000  8 Ir 2.65, 2 Cr 2.70, 2 Mn 2.72
Cr  0.5000  0.5000  0.0000  8 Ir 2.65, 2 Mn 2.70, 2 Cr 2.72
Ir  0.0000  0.5000  0.5000  4 Cr 2.65, 4 Mn 2.65, 4 Ir 2.70-2.72
Ir  0.5000  0.0000  0.5000  4 Cr 2.65, 4 Mn 2.65, 4 Ir 2.70-2.72

Calculated values
Symmetry: Cmmm, No. 65
Total magnetization, Bohr magnetons per cell: 0.77
Formation enthalpy at 0 K, eV per atom: -0.195
Relative energy among the computed polymorphs, meV per atom: 93
E_tot, eV/f.u.: -37.296

7.
Computed, not measured: an optimized crystal structure of Mn2CrIr at the PBE level of DFT.

Lattice parameters (Å, degrees): 4.8387 4.8387 4.8387 143.42 126.92 66.19
Closest atoms and distances in Å follow each position.
Positions (direct):
Mn  0.2369  0.2369  0.0000  2 Cr 2.45, 2 Ir 2.62, 4 Mn 2.65
Mn  0.7631  0.7631  0.0000  2 Cr 2.45, 2 Ir 2.62, 4 Mn 2.65
Cr  0.0000  0.5000  0.5000  4 Mn 2.45, 4 Ir 2.64
Ir  0.5000  0.0000  0.5000  8 Mn 2.62-2.89, 4 Cr 2.64

Calculated values
Symmetry: Immm, No. 71
Total magnetization, Bohr magnetons per cell: 4.44
Formation enthalpy at 0 K, eV per atom: 0.047
E_tot, eV/f.u.: -36.634

8.
Computed, not measured: an optimized crystal structure of MnCrIr2 at the PBE level of DFT.

Lattice parameters (Å, degrees): 5.1059 5.1059 5.1059 147.32 130.30 60.76
Closest atoms and distances in Å follow each position.
Positions (direct):
Mn  0.0000  0.0000  0.0000  2 Cr 2.38, 6 Ir 2.57-2.59
Cr  0.7851  0.2851  0.5000  2 Mn 2.38, 4 Ir 2.61
Ir  0.2416  0.7416  0.5000  2 Mn 2.57, 4 Cr 2.61, 6 Ir 2.87-2.88
Ir  0.5244  0.5244  0.0000  4 Mn 2.59, 2 Cr 2.71, 6 Ir 2.87-2.88

Calculated values
Symmetry: Imm2, No. 44
Total magnetization, Bohr magnetons per cell: 1.75
Formation enthalpy at 0 K, eV per atom: 0.023
Relative energy among the computed polymorphs, meV per atom: 311
E_tot, eV/f.u.: -36.424

9.
Computed, not measured: an optimized crystal structure of MnCrIr2 at the PBE level of DFT.

Lattice parameters (Å, degrees): 2.6794 2.6794 7.3492 90.00 90.00 90.00
Closest atoms and distances in Å follow each position.
Positions (direct):
Mn  0.0000  0.0000  0.0000  8 Ir 2.65, 4 Mn 2.68
Cr  0.0000  0.0000  0.5000  8 Ir 2.62, 4 Cr 2.68
Ir  0.5000  0.5000  0.2530  4 Cr 2.62, 4 Mn 2.65, 4 Ir 2.68
Ir  0.5000  0.5000  0.7470  4 Cr 2.62, 4 Mn 2.65, 4 Ir 2.68

Calculated values
Symmetry: P4/mmm, No. 123
Total magnetization, Bohr magnetons per cell: 2.19
Formation enthalpy at 0 K, eV per atom: -0.159
Relative energy among the computed polymorphs, meV per atom: 130
E_tot, eV/f.u.: -37.150

10.
Computed, not measured: an optimized crystal structure of Mn2CrIr at the PBE level of DFT.

Lattice parameters (Å, degrees): 4.4952 4.4952 4.4952 131.31 131.31 71.33
Closest atoms and distances in Å follow each position.
Positions (direct):
Mn  0.2500  0.7500  0.5000  4 Ir 2.60, 4 Cr 2.60, 4 Mn 2.62
Mn  0.7500  0.2500  0.5000  4 Ir 2.60, 4 Cr 2.60, 4 Mn 2.62
Cr  0.0000  0.0000  0.0000  8 Mn 2.60, 4 Ir 2.62
Ir  0.5000  0.5000  0.0000  8 Mn 2.60, 4 Cr 2.62

Calculated values
Symmetry: I4/mmm, No. 139
Total magnetization, Bohr magnetons per cell: 1.89
Formation enthalpy at 0 K, eV per atom: -0.077
E_tot, eV/f.u.: -37.133

11.
Computed, not measured: an optimized crystal structure of Mn2CrIr at the PBE level of DFT.

Lattice parameters (Å, degrees): 2.6508 2.6508 7.1958 90.00 90.00 90.00
Closest atoms and distances in Å follow each position.
Positions (direct):
Mn  0.0000  0.0000  0.0000  8 Mn 2.54-2.65, 4 Ir 2.70
Mn  0.5000  0.5000  0.2381  8 Mn 2.54-2.65, 4 Cr 2.58
Cr  0.0000  0.0000  0.4839  4 Mn 2.58, 4 Ir 2.58, 4 Cr 2.65
Ir  0.5000  0.5000  0.7308  4 Cr 2.58, 4 Ir 2.65, 4 Mn 2.70

Calculated values
Symmetry: P4mm, No. 99
Total magnetization, Bohr magnetons per cell: 0.80
Formation enthalpy at 0 K, eV per atom: -0.009
E_tot, eV/f.u.: -36.860

12.
Computed, not measured: an optimized crystal structure of Mn2CrIr at the PBE level of DFT.

Lattice parameters (Å, degrees): 4.5161 4.5161 4.5161 132.17 132.17 69.96
Closest atoms and distances in Å follow each position.
Positions (direct):
Mn  0.0000  0.0000  0.0000  4 Cr 2.59, 4 Mn 2.60, 4 Ir 2.60
Mn  0.7500  0.2500  0.5000  4 Ir 2.59, 4 Cr 2.60, 4 Mn 2.60
Cr  0.5000  0.5000  0.0000  8 Mn 2.59-2.60, 4 Ir 2.60
Ir  0.2500  0.7500  0.5000  8 Mn 2.59-2.60, 4 Cr 2.60

Calculated values
Symmetry: I-4m2, No. 119
Total magnetization, Bohr magnetons per cell: 1.69
Formation enthalpy at 0 K, eV per atom: -0.062
E_tot, eV/f.u.: -37.070